1.
Computed, not measured: a relaxed Pr2Ho5Er crystal at the PBE level of DFT.

Lattice parameters (Å, degrees): 5.0447 7.1381 14.2768 90.00 90.00 90.00
Fractional coordinates of all 16 atoms:
Ho: 0.5000 0.2507 0.3750
Ho: 0.5000 0.7493 0.6250
Ho: 0.0000 0.5000 0.5000
Ho: 0.0000 0.9993 0.7500
Ho: 0.5000 0.2493 0.8750
Ho: 0.5000 0.7507 0.1250
Ho: 0.0000 0.5007 0.2500
Ho: 0.0000 0.0007 0.2500
Ho: 0.0000 0.4993 0.7500
Ho: 0.0000 0.0000 0.0000
Pr: 0.5000 0.2492 0.6249
Pr: 0.5000 0.7492 0.8751
Pr: 0.5000 0.7508 0.3751
Pr: 0.5000 0.2508 0.1249
Er: 0.0000 0.5000 0.0000
Er: 0.0000 0.0000 0.5000

Values from the calculation:
**E_form**: 2.3 kJ/mol of atoms
**Energy relative to the lowest polymorph listed for this composition**: 0 meV per atom
**Space group**: No. 55

=====

2.
Computed, not measured: a relaxed Pr12HoEr7 crystal at the PBE level of DFT.

Lattice parameters (Å, degrees): 6.2620 11.5646 11.5646 116.82 100.40 100.40
Fractional coordinates of all 20 atoms:
Pr: 0.9131 0.8240 0.4117
Pr: 0.4174 0.3518 0.9992
Pr: 0.0656 0.6474 0.6482
Pr: 0.4986 0.4117 0.5878
Pr: 0.0892 0.5878 0.1760
Pr: 0.5826 0.6482 0.0008
Pr: 0.0869 0.1760 0.5883
Pr: 0.9344 0.3526 0.3518
Pr: 0.9108 0.4122 0.8240
Pr: 0.4182 0.0008 0.3526
Pr: 0.5818 0.9992 0.6474
Pr: 0.5014 0.5883 0.4122
Ho: 0.0000 0.0000 0.0000
Er: 0.8771 0.0007 0.2438
Er: 0.3667 0.2438 0.2431
Er: 0.6333 0.7562 0.7569
Er: 0.1236 0.7569 0.0007
Er: 0.5000 0.0000 0.0000
Er: 0.8764 0.2431 0.9993
Er: 0.1229 0.9993 0.7562

Values from the calculation:
**E_form**: 21.5 kJ/mol of atoms
**Energy relative to the lowest polymorph listed for this composition**: 79 meV per atom
**Space group**: No. 148

=====

3.
Computed, not measured: a relaxed Pr2Ho3Er8 crystal at the PBE level of DFT.

Lattice parameters (Å, degrees): 5.4844 7.5756 11.0749 110.04 90.00 90.00
Fractional coordinates of all 13 atoms:
Er: 0.5000 0.6070 0.7872
Er: 0.0000 0.8731 0.7463
Er: 0.5000 0.1797 0.7871
Er: 0.0000 0.3398 0.6804
Er: 0.5000 0.3930 0.2128
Er: 0.0000 0.1269 0.2537
Er: 0.5000 0.8203 0.2129
Er: 0.0000 0.6602 0.3196
Pr: 0.5000 0.2400 0.4802
Pr: 0.5000 0.7600 0.5198
Ho: 0.0000 0.7132 0.9999
Ho: 0.0000 0.2868 0.0001
Ho: 0.5000 0.0000 0.0000

Values from the calculation:
**E_form**: 23.6 kJ/mol of atoms
**Space group**: No. 10

=====

4.
Computed, not measured: a relaxed PrHoEr5 crystal at the PBE level of DFT.

Lattice parameters (Å, degrees): 6.7130 6.7130 13.7451 61.46 61.46 60.49
Fractional coordinates of all 14 atoms:
Er: 0.8322 0.1678 0.2500
Er: 0.1741 0.3876 0.7465
Er: 0.6124 0.8259 0.7535
Er: 0.3876 0.1741 0.2465
Er: 0.3517 0.3022 0.4985
Er: 0.1678 0.8322 0.7500
Er: 0.6978 0.6483 0.0015
Er: 0.6483 0.6978 0.5015
Er: 0.3022 0.3517 0.9985
Er: 0.8259 0.6124 0.2535
Ho: 0.2781 0.7219 0.2500
Ho: 0.7219 0.2781 0.7500
Pr: 0.0000 0.0000 0.0000
Pr: 0.0000 0.0000 0.5000

Values from the calculation:
**E_form**: 19.1 kJ/mol of atoms
**Energy relative to the lowest polymorph listed for this composition**: 0 meV per atom
**Space group**: No. 15

=====

5.
Computed, not measured: a relaxed PrHoEr crystal at the PBE level of DFT.

Lattice parameters (Å, degrees): 3.5432 5.4345 10.3217 90.00 99.86 90.00
Fractional coordinates of all 6 atoms:
Er: 0.9599 0.7500 0.4195
Er: 0.0401 0.2500 0.5805
Ho: 0.6121 0.7500 0.7250
Ho: 0.3879 0.2500 0.2750
Pr: 0.2055 0.2500 0.9111
Pr: 0.7945 0.7500 0.0889

Values from the calculation:
**E_form**: 3.6 kJ/mol of atoms
**Energy relative to the lowest polymorph listed for this composition**: 16 meV per atom
**Space group**: No. 63

=====

6.
Computed, not measured: a relaxed Pr2HoEr5 crystal at the PBE level of DFT.

Lattice parameters (Å, degrees): 5.0327 7.1190 14.2396 90.00 90.00 90.00
Fractional coordinates of all 16 atoms:
Pr: 0.5000 0.7502 0.3749
Pr: 0.5000 0.2498 0.6251
Pr: 0.5000 0.2502 0.1251
Pr: 0.5000 0.7498 0.8749
Er: 0.0000 0.0000 0.0000
Er: 0.0000 0.4995 0.7500
Er: 0.0000 0.0005 0.2500
Er: 0.0000 0.9995 0.7500
Er: 0.0000 0.5000 0.5000
Er: 0.5000 0.7497 0.6250
Er: 0.5000 0.2503 0.3750
Er: 0.5000 0.2497 0.8750
Er: 0.0000 0.5005 0.2500
Er: 0.5000 0.7503 0.1250
Ho: 0.0000 0.5000 0.0000
Ho: 0.0000 0.0000 0.5000

Values from the calculation:
**E_form**: 2.5 kJ/mol of atoms
**Energy relative to the lowest polymorph listed for this composition**: 0 meV per atom
**Space group**: No. 55

=====

7.
Computed, not measured: a relaxed Pr7Ho2Er3 crystal at the PBE level of DFT.

Lattice parameters (Å, degrees): 5.5459 6.3357 12.3402 89.98 90.00 90.00
Fractional coordinates of all 12 atoms:
Er: 0.5000 0.5000 0.0000
Er: 0.0000 0.9311 0.3442
Er: 0.0000 0.0689 0.6558
Pr: 0.5000 0.9086 0.8273
Pr: 0.0000 0.5553 0.8144
Pr: 0.5000 0.2464 0.4554
Pr: 0.5000 0.7536 0.5446
Pr: 0.5000 0.0914 0.1727
Pr: 0.0000 0.4447 0.1856
Pr: 0.0000 0.0000 0.0000
Ho: 0.5000 0.6182 0.2754
Ho: 0.5000 0.3818 0.7246

Values from the calculation:
**E_form**: 26.7 kJ/mol of atoms
**Energy relative to the lowest polymorph listed for this composition**: 181 meV per atom
**Space group**: No. 10

=====

8.
Computed, not measured: a relaxed PrHo4Er6 crystal at the PBE level of DFT.

Lattice parameters (Å, degrees): 7.6755 7.6755 8.3967 117.20 117.20 90.00
Fractional coordinates of all 11 atoms:
Pr: 0.5000 0.5000 0.0000
Er: 0.5662 0.5662 0.6275
Er: 0.0613 0.0613 0.6275
Er: 0.0000 0.5000 0.0000
Er: 0.5000 0.0000 0.0000
Er: 0.9387 0.4338 0.3725
Er: 0.4338 0.9387 0.3725
Ho: 0.2401 0.2401 0.1503
Ho: 0.7599 0.0898 0.8497
Ho: 0.9102 0.9102 0.1503
Ho: 0.0898 0.7599 0.8497

Values from the calculation:
**E_form**: 43.8 kJ/mol of atoms
**Energy relative to the lowest polymorph listed for this composition**: 332 meV per atom
**Space group**: No. 121

=====

9.
Computed, not measured: a relaxed Pr16Ho7Er6 crystal at the PBE level of DFT.

Lattice parameters (Å, degrees): 11.3505 11.3505 11.3505 60.00 60.00 60.00
Fractional coordinates of all 29 atoms:
Ho: 0.0000 0.5000 0.0000
Ho: 0.0000 0.0000 0.0000
Ho: 0.0000 0.0000 0.5000
Ho: 0.5000 0.5000 0.0000
Ho: 0.5000 0.0000 0.0000
Ho: 0.5000 0.0000 0.5000
Ho: 0.0000 0.5000 0.5000
Pr: 0.3518 0.3518 0.9445
Pr: 0.8751 0.8751 0.3747
Pr: 0.6482 0.0555 0.6482
Pr: 0.6482 0.6482 0.6482
Pr: 0.3518 0.3518 0.3518
Pr: 0.3747 0.8751 0.8751
Pr: 0.6253 0.1249 0.1249
Pr: 0.1249 0.6253 0.1249
Pr: 0.0555 0.6482 0.6482
Pr: 0.8751 0.3747 0.8751
Pr: 0.9445 0.3518 0.3518
Pr: 0.1249 0.1249 0.6253
Pr: 0.8751 0.8751 0.8751
Pr: 0.6482 0.6482 0.0555
Pr: 0.1249 0.1249 0.1249
Pr: 0.3518 0.9445 0.3518
Er: 0.7375 0.2625 0.7375
Er: 0.7375 0.7375 0.2625
Er: 0.2625 0.7375 0.7375
Er: 0.7375 0.2625 0.2625
Er: 0.2625 0.2625 0.7375
Er: 0.2625 0.7375 0.2625

Values from the calculation:
**E_form**: 19.6 kJ/mol of atoms
**Space group**: No. 225

=====

10.
Computed, not measured: a relaxed PrHo6Er6 crystal at the PBE level of DFT.

Lattice parameters (Å, degrees): 6.5861 6.5863 11.3998 90.00 90.00 119.98
Fractional coordinates of all 13 atoms:
Ho: 0.0000 0.0000 0.6495
Ho: 0.6668 0.3332 0.5000
Ho: 0.0000 0.0000 0.3505
Ho: 0.3334 0.6666 0.0000
Ho: 0.3332 0.6668 0.5000
Ho: 0.6666 0.3334 0.0000
Er: 0.0000 0.5000 0.2446
Er: 0.5000 0.5000 0.2447
Er: 0.5000 0.0000 0.2446
Er: 0.5000 0.0000 0.7554
Er: 0.5000 0.5000 0.7553
Er: 0.0000 0.5000 0.7554
Pr: 0.0000 0.0000 0.0000

Values from the calculation:
**E_form**: 26.6 kJ/mol of atoms
**Space group**: No. 191

=====

11.
Computed, not measured: a relaxed PrHo5Er8 crystal at the PBE level of DFT.

Lattice parameters (Å, degrees): 8.3762 8.3762 8.3762 111.52 105.45 111.52
Fractional coordinates of all 14 atoms:
Er: 0.5769 0.9177 0.8363
Er: 0.7212 0.2516 0.3268
Er: 0.6732 0.3944 0.9248
Er: 0.1637 0.7406 0.0814
Er: 0.9185 0.0823 0.6592
Er: 0.3408 0.2594 0.4231
Er: 0.0752 0.7484 0.4696
Er: 0.5304 0.6056 0.2788
Ho: 0.2838 0.0960 0.9596
Ho: 0.8122 0.6758 0.7162
Ho: 0.8636 0.9040 0.1878
Ho: 0.0404 0.3242 0.1364
Ho: 0.5000 0.0000 0.5000
Pr: 0.2500 0.5000 0.7500

Values from the calculation:
**E_form**: 23.9 kJ/mol of atoms
**Space group**: No. 82

=====

12.
Computed, not measured: a relaxed Pr2Ho9Er crystal at the PBE level of DFT.

Lattice parameters (Å, degrees): 3.4859 11.2495 11.2495 120.00 90.00 90.00
Fractional coordinates of all 12 atoms:
Pr: 0.0000 0.6667 0.3333
Pr: 0.0000 0.3333 0.6667
Ho: 0.0000 0.5000 0.0000
Ho: 0.5000 0.8272 0.1728
Ho: 0.5000 0.8272 0.6544
Ho: 0.5000 0.6544 0.8272
Ho: 0.5000 0.3456 0.1728
Ho: 0.5000 0.1728 0.8272
Ho: 0.0000 0.5000 0.5000
Ho: 0.0000 0.0000 0.5000
Ho: 0.5000 0.1728 0.3456
Er: 0.0000 0.0000 0.0000

Values from the calculation:
**E_form**: 7.5 kJ/mol of atoms
**Energy relative to the lowest polymorph listed for this composition**: 53 meV per atom
**Space group**: No. 191

=====

Q: Among the records above, which one has the highest E_form?
A: PrHo4Er6